VASP calculation (PBE) on a geometry-optimized K2SiAs structure.

For the magnetization, the calculation gives 0.0 μB per cell. The density of states at the Fermi level comes out at 0.57 states/eV per atom. The polymorph energy (0 for the lowest one) is 603 meV per atom.

a = 5.602 Å, b = 5.602 Å, c = 6.913 Å
α = 94.67°, β = 94.67°, γ = 30.77°
Sites, in units of the cell vectors:
K1 0.246 0.246 0.241
K2 0.754 0.754 0.759
Si1 0.000 0.000 0.500
As1 0.500 0.500 0.000